First-principles (PBE with a Hubbard U) data for an optimized crystal structure of MoBrN2O, as listed in Alexandria.

abc: 4.1184 4.1184 3.8544
angles: 90.00 90.00 90.00
Fractional coordinates of all 5 atoms:
Mo: 0.0000 0.0000 0.0000
Br: 0.5000 0.5000 0.5000
N: 0.0000 0.5000 0.0000
N: 0.5000 0.0000 0.0000
O: 0.0000 0.0000 0.5000

Computed properties:
Raw total energy ... -5.330 eV/atom
Total magnetic moment ... 0.000 μB per atom
Density of states at the Fermi level ... 3.83 states/eV/cell